VASP calculation (GGA-PBE) on an optimized crystal structure of Ag3PAu.

Unit cell a=4.734 b=4.734 c=4.734 alpha=90.00 beta=90.00 gamma=90.00
Element x y z (fractional)
1 Ag 0.000 0.000 0.500
2 Ag 0.000 0.500 0.000
3 Ag 0.500 0.000 0.000
4 P 0.000 0.000 0.000
5 Au 0.500 0.500 0.500

Computed properties:
The energy above the most stable polymorph in this dataset is 0 meV/atom. The total DFT energy (no corrections) is -3.12 eV per atom. The density of states at the Fermi level is 1.7 states/eV per cell. For the calculated density, the calculation gives 8.63 Mg/m³.



VASP calculation (GGA-PBE) on an optimized crystal structure of AlHgBi2.

Unit cell a=3.794 b=3.794 c=7.999 alpha=90.00 beta=90.00 gamma=90.00
Element x y z (fractional)
1 Al 0.000 0.000 0.000
2 Hg 0.000 0.000 0.500
3 Bi 0.500 0.500 0.197
4 Bi 0.500 0.500 0.803

Computed properties:
The energy above the most stable polymorph in this dataset is 0 meV/atom. The total DFT energy (no corrections) is -2.83 eV per atom. The density of states at the Fermi level is 1.2 states/eV per cell. For the calculated density, the calculation gives 9.31 Mg/m³.



VASP calculation (GGA-PBE) on an optimized crystal structure of Ta2BH.

Unit cell a=5.204 b=3.195 c=5.442 alpha=90.00 beta=90.00 gamma=90.00
Element x y z (fractional)
1 Ta 0.250 0.000 0.165
2 Ta 0.250 0.500 0.665
3 Ta 0.750 0.000 0.835
4 Ta 0.750 0.500 0.335
5 B 0.000 0.000 0.500
6 B 0.500 0.000 0.500
7 H 0.000 0.500 0.000
8 H 0.500 0.500 0.000

Computed properties:
The energy above the most stable polymorph in this dataset is 0 meV/atom. The total DFT energy (no corrections) is -8.71 eV per atom. The density of states at the Fermi level is 3.0 states/eV per cell. For the calculated density, the calculation gives 13.72 Mg/m³.